Computed, not measured: crystalline In2Te2Se at its relaxed geometry at the PBE level of DFT.

extended XYZ file:
```
5
Lattice="4.1719 0.0000 0.0000 -2.0860 3.6130 0.0000 0.0000 0.0000 10.5941" Properties=species:S:1:pos:R:3 pbc="T T T"
In 0.0000 2.4087 3.4748
In 2.0860 1.2043 7.1193
Te 0.0000 2.4087 8.7077
Te 2.0860 1.2043 1.8864
Se 0.0000 0.0000 5.2971
```

Properties
- Crystal system: trigonal
- Density: 5.86 Mg/m³
- Offset from the most stable computed form: 73 meV/atom

***

Computed, not measured: crystalline InTe2Se2 at its relaxed geometry at the PBE level of DFT.

extended XYZ file:
```
10
Lattice="8.4909 0.0000 0.0000 0.0000 8.4909 0.0000 0.0000 0.0000 3.8439" Properties=species:S:1:pos:R:3 pbc="T T T"
In 0.0000 0.0000 0.0000
In 4.2455 4.2455 0.0000
Te 1.2355 3.0099 0.0000
Te 3.0099 7.2554 0.0000
Te 5.4810 1.2355 0.0000
Te 7.2554 5.4810 0.0000
Se 1.5485 5.7940 1.9219
Se 2.6969 1.5485 1.9219
Se 5.7940 6.9424 1.9219
Se 6.9424 2.6969 1.9219
```

Properties
- Crystal system: tetragonal
- Density: 6.33 Mg/m³
- Offset from the most stable computed form: 31 meV/atom

***

Computed, not measured: crystalline In2TeSe2 at its relaxed geometry at the PBE level of DFT.

extended XYZ file:
```
10
Lattice="11.3485 -2.0708 0.0000 11.3485 2.0708 0.0000 -0.9504 0.0000 6.8826" Properties=species:S:1:pos:R:3 pbc="T T T"
In 2.2987 0.0000 2.9482
In 6.9125 0.0000 6.7986
In 14.8340 0.0000 0.0841
In 19.4478 0.0000 3.9344
Te 4.8863 0.0000 1.7160
Te 16.8602 0.0000 5.1666
Se 1.5483 0.0000 5.4220
Se 9.1735 0.0000 5.2032
Se 12.5730 0.0000 1.6794
Se 20.1982 0.0000 1.4607
```

Properties
- Crystal system: monoclinic
- Density: 5.29 Mg/m³
- Raw total energy: -3.525 eV per atom

***

Computed, not measured: crystalline InTe2Se at its relaxed geometry at the PBE level of DFT.

extended XYZ file:
```
8
Lattice="-4.2981 4.2981 3.0860 4.2981 -4.2981 3.0860 4.2981 4.2981 -3.0860" Properties=species:S:1:pos:R:3 pbc="T T T"
In 0.0000 0.0000 0.0000
In 0.0000 4.2981 1.5430
Te 2.1490 2.0458 -0.7715
Te 2.2523 -2.1490 3.8574
Te 2.1490 2.2523 2.3145
Te 2.0458 6.4471 0.7715
Se 4.2981 0.0000 1.5430
Se 0.0000 0.0000 3.0860
```

Properties
- Crystal system: tetragonal
- Density: 6.54 Mg/m³
- Raw total energy: -3.088 eV per atom

***

Computed, not measured: crystalline In2TeSe2 at its relaxed geometry at the PBE level of DFT.

extended XYZ file:
```
5
Lattice="-2.8023 2.8023 4.5729 2.8023 -2.8023 4.5729 2.8023 2.8023 -4.5729" Properties=species:S:1:pos:R:3 pbc="T T T"
In 2.8023 0.0000 2.2865
In 0.0000 2.8023 2.2865
Te 0.0000 0.0000 0.0000
Se 0.0000 0.0000 2.9089
Se 0.0000 0.0000 6.2369
```

Properties
- Crystal system: tetragonal
- Density: 5.96 Mg/m³
- Raw total energy: -3.305 eV per atom

***

Computed, not measured: crystalline InTeSe3 at its relaxed geometry at the PBE level of DFT.

extended XYZ file:
```
10
Lattice="7.6123 0.0000 0.0000 0.0000 4.0059 0.0000 -2.8657 0.0000 10.8717" Properties=species:S:1:pos:R:3 pbc="T T T"
In 0.9874 1.0015 1.1120
In 3.7593 3.0044 9.7597
Te 1.1302 1.0015 6.8491
Te 3.6164 3.0044 4.0227
Se -2.1769 1.0015 9.2730
Se 0.6570 3.0044 5.0662
Se 1.3300 3.0044 8.9598
Se 3.4166 1.0015 1.9120
Se 4.0896 1.0015 5.8055
Se 6.9235 3.0044 1.5987
```

Properties
- Crystal system: monoclinic
- Density: 4.80 Mg/m³
- Offset from the most stable computed form: 0 meV/atom

***

Computed, not measured: crystalline InTe2Se at its relaxed geometry at the PBE level of DFT.

extended XYZ file:
```
4
Lattice="6.5407 -2.1643 0.0000 6.5407 2.1643 0.0000 -1.4244 0.0000 4.0841" Properties=species:S:1:pos:R:3 pbc="T T T"
In 0.0000 0.0000 0.0000
Te 2.9656 0.0000 1.0444
Te 5.9051 0.0000 2.0699
Se 8.9402 0.0000 3.1380
```

Properties
- Crystal system: monoclinic
- Density: 6.45 Mg/m³
- Raw total energy: -3.213 eV per atom

***

Computed, not measured: crystalline In3TeSe2 at its relaxed geometry at the PBE level of DFT.

extended XYZ file:
```
6
Lattice="-2.2069 5.9916 3.8578 2.2069 -5.9916 3.8578 2.2069 5.9916 -3.8578" Properties=species:S:1:pos:R:3 pbc="T T T"
In 0.0000 0.0000 0.0000
In 0.0000 4.3843 0.8778
In 0.0000 7.5989 0.8778
Te 2.2069 0.0000 1.7276
Se 2.2069 -3.6469 2.5962
Se 2.2069 3.6469 2.5962
```

Properties
- Crystal system: orthorhombic
- Density: 5.13 Mg/m³
- Offset from the most stable computed form: 0 meV/atom

***

Computed, not measured: crystalline In3TeSe6 at its relaxed geometry at the PBE level of DFT.

extended XYZ file:
```
20
Lattice="12.6733 0.0000 0.0000 0.0000 3.9609 0.0000 -5.6108 0.0000 11.6595" Properties=species:S:1:pos:R:3 pbc="T T T"
In -1.1981 0.9902 3.6759
In 3.3286 0.9902 0.8149
In 2.4182 2.9707 3.7342
In 4.6443 0.9902 7.9253
In 3.7339 2.9707 10.8446
In 8.2606 2.9707 7.9836
Te -1.2233 0.9902 8.9028
Te 8.2858 2.9707 2.7567
Se -4.1963 0.9902 9.7386
Se -1.9324 2.9707 7.0196
Se 1.4149 2.9707 1.2386
Se 0.9730 0.9902 5.0746
Se -0.7608 2.9707 10.9333
Se 4.3010 0.9902 3.3683
Se 2.7615 2.9707 8.2912
Se 7.8233 0.9902 0.7262
Se 6.0895 2.9707 6.5849
Se 5.6476 0.9902 10.4209
Se 8.9949 0.9902 4.6399
Se 11.2588 2.9707 1.9209
```

Properties
- Crystal system: monoclinic
- Density: 5.37 Mg/m³
- Raw total energy: -3.522 eV per atom

***

Computed, not measured: crystalline In3TeSe at its relaxed geometry at the PBE level of DFT.

extended XYZ file:
```
10
Lattice="7.7025 0.0000 0.0000 0.0000 4.8557 0.0000 -0.0885 0.0000 8.8298" Properties=species:S:1:pos:R:3 pbc="T T T"
In 0.5929 1.2139 1.5256
In 1.8721 3.6418 4.5262
In 3.1034 3.6418 8.1501
In 4.5107 1.2139 0.6797
In 5.7420 1.2139 4.3036
In 7.0211 3.6418 7.3043
Te 1.1192 1.2139 7.3271
Te 6.4948 3.6418 1.5028
Se 2.9355 1.2139 2.9819
Se 4.6785 3.6418 5.8480
```

Properties
- Crystal system: monoclinic
- Density: 5.54 Mg/m³
- Offset from the most stable computed form: 21 meV/atom

***

Computed, not measured: crystalline InTe2Se at its relaxed geometry at the PBE level of DFT.

extended XYZ file:
```
4
Lattice="4.0607 0.0000 0.0000 0.0000 4.0607 0.0000 0.0000 0.0000 9.0386" Properties=species:S:1:pos:R:3 pbc="T T T"
In 0.0000 0.0000 0.0000
Te 0.0000 0.0000 3.1928
Te 2.0303 2.0303 4.0183
Se 2.0303 2.0303 8.6321
```

Properties
- Crystal system: tetragonal
- Density: 5.00 Mg/m³
- Raw total energy: -3.224 eV per atom

***

Computed, not measured: crystalline In2TeSe at its relaxed geometry at the PBE level of DFT.

extended XYZ file:
```
4
Lattice="2.1073 1.2167 7.6662 -2.1073 1.2167 7.6662 0.0000 -2.4333 7.6662" Properties=species:S:1:pos:R:3 pbc="T T T"
In 0.0000 0.0000 0.0000
In 0.0000 0.0000 3.6973
Te 0.0000 0.0000 13.1206
Se 0.0000 0.0000 17.4456
```

Properties
- Crystal system: trigonal
- Density: 6.14 Mg/m³
- Offset from the most stable computed form: 41 meV/atom

***

Computed, not measured: crystalline InTe2Se at its relaxed geometry at the PBE level of DFT.

extended XYZ file:
```
4
Lattice="3.0487 -4.3548 0.0000 3.0487 4.3548 0.0000 -3.0052 0.0000 4.3987" Properties=species:S:1:pos:R:3 pbc="T T T"
In 0.0000 0.0000 0.0000
Te 0.0218 2.1774 2.1993
Te 0.0218 -2.1774 2.1993
Se 3.0487 0.0000 0.0000
```

Properties
- Crystal system: monoclinic
- Density: 6.38 Mg/m³
- Raw total energy: -3.215 eV per atom

***

Computed, not measured: crystalline InTe2Se at its relaxed geometry at the PBE level of DFT.

extended XYZ file:
```
4
Lattice="1.9492 1.1253 10.0442 -1.9492 1.1253 10.0442 0.0000 -2.2507 10.0442" Properties=species:S:1:pos:R:3 pbc="T T T"
In 0.0000 0.0000 0.0000
Te 0.0000 0.0000 3.1897
Te 0.0000 0.0000 26.9430
Se 0.0000 0.0000 15.0663
```

Properties
- Crystal system: trigonal
- Density: 5.64 Mg/m³
- Raw total energy: -2.889 eV per atom

***

Computed, not measured: crystalline In2TeSe at its relaxed geometry at the PBE level of DFT.

extended XYZ file:
```
4
Lattice="2.0479 1.1823 8.6034 -2.0479 1.1823 8.6034 0.0000 -2.3647 8.6034" Properties=species:S:1:pos:R:3 pbc="T T T"
In 0.0000 0.0000 0.0000
In 0.0000 0.0000 6.2426
Te 0.0000 0.0000 13.2092
Se 0.0000 0.0000 18.5480
```

Properties
- Crystal system: trigonal
- Density: 5.80 Mg/m³
- Offset from the most stable computed form: 97 meV/atom

***

Computed, not measured: crystalline In2TeSe at its relaxed geometry at the PBE level of DFT.

extended XYZ file:
```
8
Lattice="4.3477 -4.3118 0.0000 4.3477 4.3118 0.0000 -4.3319 0.0000 6.0728" Properties=species:S:1:pos:R:3 pbc="T T T"
In 1.0934 1.0829 1.3916
In -1.0725 -1.0829 4.4280
In 5.4361 1.0829 1.6448
In 3.2702 -1.0829 4.6812
Te 1.0988 1.0733 4.5546
Te 3.2648 -1.0733 1.5182
Se 3.2648 3.2384 1.5182
Se 1.0988 -3.2384 4.5546
```

Properties
- Crystal system: monoclinic
- Density: 6.36 Mg/m³
- Offset from the most stable computed form: 0 meV/atom

***

Computed, not measured: crystalline InTe2Se at its relaxed geometry at the PBE level of DFT.

extended XYZ file:
```
4
Lattice="2.1257 1.2273 7.3304 -2.1257 1.2273 7.3304 0.0000 -2.4546 7.3304" Properties=species:S:1:pos:R:3 pbc="T T T"
In 0.0000 0.0000 0.0000
Te 0.0000 0.0000 5.5163
Te 0.0000 0.0000 16.4748
Se 0.0000 0.0000 10.9956
```

Properties
- Crystal system: trigonal
- Density: 6.50 Mg/m³
- Raw total energy: -3.148 eV per atom

***

Computed, not measured: crystalline In2TeSe at its relaxed geometry at the PBE level of DFT.

extended XYZ file:
```
4
Lattice="3.1316 0.0000 0.0000 0.0000 5.9392 0.0000 0.0000 0.0000 6.1571" Properties=species:S:1:pos:R:3 pbc="T T T"
In 0.0000 0.0000 0.0000
In 1.5658 2.9696 3.0727
Te 1.5658 2.9696 6.1513
Se 0.0000 0.0000 3.0727
```

Properties
- Crystal system: orthorhombic
- Density: 6.33 Mg/m³
- Offset from the most stable computed form: 219 meV/atom

***

Computed, not measured: crystalline TlIn2Te2Se at its relaxed geometry at the PBE level of DFT.

extended XYZ file:
```
12
Lattice="7.5274 0.0000 0.0000 0.0000 7.2700 0.0000 -0.5186 0.0000 7.8335" Properties=species:S:1:pos:R:3 pbc="T T T"
Tl 0.6190 1.8175 1.0594
Tl 6.3898 5.4525 6.7742
In 2.7115 0.1014 5.7186
In 2.7115 3.5335 5.7186
In 4.2973 3.7364 2.1150
In 4.2973 7.1685 2.1150
Te 0.3924 1.8175 5.6475
Te 2.5934 5.4525 0.0558
Te 4.4154 1.8175 7.7778
Te 6.6164 5.4525 2.1861
Se 2.6503 5.4525 3.7485
Se 4.3585 1.8175 4.0850
```

Properties
- Crystal system: monoclinic
- Density: 5.95 Mg/m³
- Raw total energy: -3.216 eV per atom

***

Computed, not measured: crystalline Tl2InTeSe4 at its relaxed geometry at the PBE level of DFT.

extended XYZ file:
```
16
Lattice="6.0086 -5.9889 0.0000 6.0086 5.9889 0.0000 -5.3346 0.0000 6.4137" Properties=species:S:1:pos:R:3 pbc="T T T"
Tl 0.0000 0.0000 0.0000
Tl -2.6673 0.0000 3.2068
Tl 3.0043 2.9945 0.0000
Tl 0.3370 -2.9945 3.2068
In 6.0086 0.0000 0.0000
In 3.3413 0.0000 3.2068
Te 0.3370 2.9945 3.2068
Te 3.0043 -2.9945 0.0000
Se 3.1470 2.8159 3.1039
Se 0.5230 0.1431 3.5501
Se 6.2028 2.8159 0.1029
Se 3.1903 -0.1431 0.3433
Se 3.4922 0.1431 6.0704
Se 0.4797 -2.8159 6.3108
Se 6.1595 -0.1431 2.8636
Se 3.5355 -2.8159 3.3098
```

Properties
- Crystal system: monoclinic
- Density: 6.96 Mg/m³
- Raw total energy: -3.359 eV per atom